DFT (PBE) results for a geometry-optimized Sr2CaBi4Pd3 structure.

Computed properties:
- calculated formation energy (meV/atom) = -632

Lattice parameters (Å, degrees): 4.735 4.735 12.564 90.00 90.00 90.00
Space group P-4m2 (No. 115)
Unique sites:
Sr1 0.000 0.500 0.236
Ca1 0.000 0.000 0.500
Bi1 0.000 0.000 0.000
Bi2 0.000 0.500 0.655
Bi3 0.500 0.500 0.000
Pd1 0.000 0.500 0.873
Pd2 0.500 0.500 0.500